(1)
The following is a DFT calculation (PBE-GGA) of HoWC2 after structural relaxation.

## Properties
Total DFT energy (no corrections)   -110.303 eV/cell
Offset from the most stable computed form   0.1027 eV per atom

abc: 3.2268 3.2268 16.5931
angles: 90.00 90.00 120.00
Last column: nearest neighbours and their distance in Å.
Space group R-3m (No. 166, hexagonal axes)
Inequivalent atoms, fractional coordinates:
1 Ho 0.0000 0.0000 0.0000 x3  6 C 2.44
2 W 0.0000 0.0000 0.5000 x3  6 C 2.21
3 C 0.0000 0.0000 0.2384 x6  3 W 2.21, 3 Ho 2.44



(2)
The following is a DFT calculation (PBE-GGA) of HoW2C2 after structural relaxation.

## Properties
Total DFT energy (no corrections)   -390.950 eV/cell

abc: 7.1184 8.8356 9.2020
angles: 90.00 90.00 90.00
Last column: nearest neighbours and their distance in Å.
Space group Fddd (No. 70, origin choice 2)
Inequivalent atoms, fractional coordinates:
1 Ho 0.1250 0.1250 0.1250 x8  2 C 2.57
2 W 0.1250 0.1250 0.4827 x16  4 C 2.07-2.26
3 C 0.1250 0.3336 0.6250 x16  4 W 2.07-2.26



(3)
The following is a DFT calculation (PBE-GGA) of HoWC2 after structural relaxation.

## Properties
Total DFT energy (no corrections)   -108.066 eV/cell
Offset from the most stable computed form   0.2892 eV per atom

abc: 3.1816 3.1816 17.3462
angles: 90.00 90.00 120.00
Last column: nearest neighbours and their distance in Å.
Space group R3m (No. 160, hexagonal axes)
Inequivalent atoms, fractional coordinates:
1 Ho 0.0000 0.0000 0.0000 x3  6 C 2.42-2.55
2 W 0.0000 0.0000 0.8244 x3  6 C 2.17-2.24
3 C 0.0000 0.0000 0.2311 x3  3 W 2.24
4 C 0.0000 0.0000 0.4240 x3  3 W 2.17, 3 Ho 2.42



(4)
The following is a DFT calculation (PBE-GGA) of HoWC2 after structural relaxation.

## Properties
Total DFT energy (no corrections)   -145.111 eV/cell
Offset from the most stable computed form   0.2252 eV per atom

abc: 5.1948 3.4056 13.2351
angles: 90.00 90.00 90.00
Last column: nearest neighbours and their distance in Å.
Space group Pnma (No. 62)
Inequivalent atoms, fractional coordinates:
1 Ho 0.2392 0.2500 0.0686 x4  6 C 2.38-2.66
2 W 0.2136 0.7500 0.3287 x4  4 C 1.94-2.09
3 C 0.1572 0.2500 0.6874 x4  2 W 1.94-1.99
4 C 0.2489 0.7500 0.9190 x4  2 W 2.09



(5)
The following is a DFT calculation (PBE-GGA) of HoWC2 after structural relaxation.

## Properties
Total DFT energy (no corrections)   -148.714 eV/cell
Offset from the most stable computed form   0.0000 eV per atom

abc: 5.7123 3.3690 10.7979
angles: 90.00 90.00 90.00
Last column: nearest neighbours and their distance in Å.
Space group Pnma (No. 62)
Inequivalent atoms, fractional coordinates:
1 Ho 0.0856 0.2500 0.1372 x4  7 C 2.45-2.59
2 W 0.0972 0.7500 0.3898 x4  4 C 2.03-2.13
3 C 0.1600 0.2500 0.7529 x4  2 W 2.03-2.13
4 C 0.2253 0.2500 0.4851 x4  3 W 2.11-2.28



(6)
The following is a DFT calculation (PBE-GGA) of Ho3WC3 after structural relaxation.

## Properties
Total DFT energy (no corrections)   -227.097 eV/cell

abc: 8.8138 10.5077 5.1299
angles: 90.00 90.00 90.00
Last column: nearest neighbours and their distance in Å.
Space group Cmcm (No. 63)
Inequivalent atoms, fractional coordinates:
1 Ho 0.0000 0.1101 0.2500 x4  5 C 2.45-2.57
2 Ho 0.2169 0.3838 0.2500 x8  4 C 2.47-2.57
3 W 0.0000 0.3102 0.7500 x4  3 C 1.97-1.99
4 C 0.0000 0.1231 0.7500 x4  1 W 1.97
5 C 0.2091 0.3809 0.7500 x8  1 W 1.99



(7)
The following is a DFT calculation (PBE-GGA) of Ho2WC3 after structural relaxation.

## Properties
Total DFT energy (no corrections)   -203.640 eV/cell

abc: 9.8704 6.2791 5.6418
angles: 90.00 90.00 90.00
Last column: nearest neighbours and their distance in Å.
Space group Cmc2_1 (No. 36)
Inequivalent atoms, fractional coordinates:
1 Ho 0.1677 0.1585 0.0000 x8  6 C 2.39-2.60
2 W 0.0000 0.3975 0.4406 x4  3 C 1.93-2.04
3 C 0.0000 0.1025 0.3471 x4  1 W 1.93
4 C 0.1520 0.4851 0.7331 x8  1 W 2.04



(8)
The following is a DFT calculation (PBE-GGA) of YHoC after structural relaxation.

## Properties
Total DFT energy (no corrections)   -122.266 eV/cell
Offset from the most stable computed form   0.2618 eV per atom

abc: 6.5316 6.5316 10.3161
angles: 90.00 90.00 120.00
Last column: nearest neighbours and their distance in Å.
Space group P6_222 (No. 180)
Inequivalent atoms, fractional coordinates:
1 Y 0.0000 0.5000 0.0000 x6  4 C 2.55-2.56
2 Ho 0.0000 0.0000 0.1667 x3  6 Ho 3.44-3.69, 8 Y 3.69, 6 C 3.76-3.78
3 Ho 0.0000 0.5000 0.6667 x3  4 C 2.55
4 C 0.3323 0.6646 0.5000 x6  4 Y 2.55-2.56, 2 Ho 2.55



no.,size of the total moment (μB per formula unit),E_form (eV per atom)
1,0.00,-0.1972
2,0.00,0.0126
3,0.00,-0.0108
4,0.00,-0.0747
5,0.00,-0.2999
6,0.00,-0.3452
7,0.00,-0.1883
8,0.00,-0.0373